# NaInPbAu, relaxed, DFT PBE
data_NaInPbAu
_cell_length_a 5.127
_cell_length_b 5.127
_cell_length_c 5.127
_cell_angle_alpha 60.00
_cell_angle_beta 60.00
_cell_angle_gamma 60.00
_symmetry_space_group_name_H-M 'P 1'
_symmetry_Int_Tables_number 1
_symmetry_space_group_name_Hall 'P 1'
loop_
_atom_site_label
_atom_site_fract_x
_atom_site_fract_y
_atom_site_fract_z
Na1 0.500 0.500 0.500
In1 0.250 0.250 0.250
Au1 0.000 0.000 0.000
Pb1 0.750 0.750 0.750
# * M_tot: 0.0 μB/f.u.
# * volume: 23.82 Å³/atom
# * E: -2.8723 eV/atom
# * space group: No. 216